TaHIr2Pt: relaxed, PBE.

The calculation puts the electronic total energy at -40.473 eV per cell. Its relative energy among the computed polymorphs is 0.15 kcal/mol of atoms. The volume is 64.2 Å³/cell.

a = 3.9758 Å, b = 3.9758 Å, c = 4.0601 Å
α = 90.00°, β = 90.00°, γ = 90.00°
Space group P4/mmm (No. 123)
Symmetry-distinct sites (fractional):
Ta 0.0000 0.0000 0.0000 (multiplicity 1)
H 0.0000 0.0000 0.5000 (multiplicity 1)
Ir 0.0000 0.5000 0.5000 (multiplicity 2)
Pt 0.5000 0.5000 0.0000 (multiplicity 1)

***

Dy3Hg2N: relaxed, PBE.

The calculation puts the electronic total energy at -55.296 eV per cell. The raw formation energy comes out at -0.819 eV/atom. The volume is 264.0 Å³/cell.

a = 15.5791 Å, b = 4.8650 Å, c = 3.4833 Å
α = 90.00°, β = 90.14°, γ = 90.00°
Space group C2/m (No. 12)
Symmetry-distinct sites (fractional):
Dy 0.0000 0.0000 0.0000 (multiplicity 2)
Dy 0.1102 0.5000 0.5008 (multiplicity 4)
Hg 0.1959 0.0000 0.9993 (multiplicity 4)
N 0.0000 0.5000 0.0000 (multiplicity 2)

***

Computed density of states at the Fermi level (states/eV per cell) in order:
2.0, 8.2
Computed calculated density (g/cm3) in order:
19.7, 11.4